Entry 1:
Entry from the Alexandria database: an optimized crystal structure of CsNaCeCl6 (PBE-GGA).

Unit cell a=7.2470 b=7.2470 c=15.1194 alpha=90.00 beta=90.00 gamma=120.00
Positions (direct):
Cs  0.0000  0.0000  0.0000
Cs  0.0000  0.0000  0.5000
Na  0.3333  0.6667  0.2500
Na  0.6667  0.3333  0.7500
Ce  0.3333  0.6667  0.7500
Ce  0.6667  0.3333  0.2500
Cl  0.0214  0.3845  0.6492
Cl  0.0214  0.6370  0.8508
Cl  0.3630  0.3845  0.8508
Cl  0.3630  0.9786  0.6492
Cl  0.3845  0.0214  0.1492
Cl  0.3845  0.3630  0.3508
Cl  0.6155  0.6370  0.6492
Cl  0.6155  0.9786  0.8508
Cl  0.6370  0.0214  0.3508
Cl  0.6370  0.6155  0.1492
Cl  0.9786  0.3630  0.1492
Cl  0.9786  0.6155  0.3508

Computed properties:
Space group: No. 163
ΔE_f (raw) (eV/atom): -1.982

=====

Entry 2:
Entry from the Alexandria database: an optimized crystal structure of CsNa2CeCl6 (PBE-GGA).

Unit cell a=7.9635 b=7.9635 c=7.9635 alpha=55.50 beta=55.50 gamma=55.50
Positions (direct):
Cs  0.0000  0.0000  0.0000
Na  0.2703  0.2703  0.2703
Na  0.7860  0.7860  0.7860
Ce  0.4677  0.4677  0.4677
Cl  0.0613  0.5897  0.4745
Cl  0.1993  0.5322  0.8655
Cl  0.4745  0.0613  0.5897
Cl  0.5322  0.8655  0.1993
Cl  0.5897  0.4745  0.0613
Cl  0.8655  0.1993  0.5322

Computed properties:
Space group: No. 146
ΔE_f (raw) (eV/atom): -2.009